First-principles (PBE-GGA) data for crystalline Tb8NdSm6 at its relaxed geometry, as listed in Alexandria via LeMat-Bulk.

a = 9.1334 Å, b = 9.1334 Å, c = 20.8019 Å
α = 90.00°, β = 90.00°, γ = 120.00°
Closest atoms and distances in Å follow each position.
Space group R-3 (No. 148, hexagonal axes)
Inequivalent atoms, fractional coordinates:
1 Tb 0.0000 0.0000 0.0766 x6  4 Tb 3.19-3.44, 3 Sm 3.41
2 Tb 0.0805 0.5271 0.3079 x18  3 Sm 3.41-3.78, 5 Tb 3.44-3.47, 1 Nd 3.56
3 Nd 0.0000 0.0000 0.5000 x3  6 Sm 3.49, 6 Tb 3.56
4 Sm 0.0595 0.8133 0.2085 x18  4 Tb 3.41-3.78, 1 Nd 3.49, 4 Sm 3.52-3.80

Output
Crystal system ... trigonal
Energy ... -204.762 eV for the cell shown
Formation energy from the elements ... 125 meV per atom



First-principles (PBE-GGA) data for crystalline Tb7NdSm4 at its relaxed geometry, as listed in Alexandria via LeMat-Bulk.

a = 6.5690 Å, b = 6.8786 Å, c = 9.1345 Å
α = 85.63°, β = 76.98°, γ = 82.13°
Closest atoms and distances in Å follow each position.
Space group P-1 (No. 2)
Inequivalent atoms, fractional coordinates:
1 Tb 0.0000 0.0000 0.0000 x1  4 Sm 3.43-3.67, 2 Nd 3.44, 4 Tb 3.52-3.74
2 Tb 0.1915 0.6025 0.3865 x2  5 Tb 3.29-3.63, 4 Sm 3.34-3.55
3 Tb 0.3167 0.1991 0.6408 x2  5 Tb 3.41-3.74, 4 Sm 3.47-3.59
4 Tb 0.4856 0.7508 0.0514 x2  5 Tb 3.40-3.61, 4 Sm 3.42-3.75, 1 Nd 3.52
5 Nd 0.0000 0.5000 0.0000 x1  2 Sm 3.42, 4 Tb 3.44-3.52
6 Sm 0.1625 0.1101 0.3120 x2  7 Tb 3.43-3.73, 2 Sm 3.53-3.56
7 Sm 0.3597 0.6948 0.7154 x2  7 Tb 3.34-3.67, 1 Nd 3.42, 2 Sm 3.53-3.56

Output
Crystal system ... triclinic
Energy ... -55.045 eV for the cell shown
ΔE to the lowest computed polymorph ... 0.0 kJ/mol of atoms
Formation energy from the elements ... 84 meV per atom



First-principles (PBE-GGA) data for crystalline Tb6Nd2Sm at its relaxed geometry, as listed in Alexandria via LeMat-Bulk.

a = 3.5137 Å, b = 10.3916 Å, c = 16.3748 Å
α = 90.00°, β = 90.00°, γ = 90.00°
Closest atoms and distances in Å follow each position.
Space group Immm (No. 71)
Inequivalent atoms, fractional coordinates:
1 Tb 0.0000 0.1664 0.1774 x8  1 Sm 3.38, 7 Tb 3.43-3.72, 3 Nd 3.48-3.66
2 Tb 0.0000 0.1866 0.5000 x4  7 Tb 3.51-3.88, 4 Nd 3.67, 2 Sm 3.70
3 Nd 0.0000 0.5000 0.1572 x4  10 Tb 3.48-3.67, 2 Nd 3.51
4 Sm 0.0000 0.0000 0.0000 x2  8 Tb 3.38-3.70, 2 Sm 3.51

Output
Crystal system ... orthorhombic
Energy ... -82.211 eV for the cell shown
ΔE to the lowest computed polymorph ... 0.9 kJ/mol of atoms
Formation energy from the elements ... 103 meV per atom



First-principles (PBE-GGA) data for crystalline TbNd4Sm at its relaxed geometry, as listed in Alexandria via LeMat-Bulk.

a = 5.1764 Å, b = 15.4931 Å, c = 5.1679 Å
α = 90.00°, β = 90.00°, γ = 90.00°
Closest atoms and distances in Å follow each position.
Space group Cmmm (No. 65)
Inequivalent atoms, fractional coordinates:
1 Tb 0.0000 0.0000 0.0000 x2  8 Nd 3.64-3.65, 4 Sm 3.66
2 Nd 0.0000 0.1654 0.5000 x4  2 Tb 3.64, 2 Sm 3.64, 8 Nd 3.66-3.68
3 Nd 0.0000 0.3342 0.0000 x4  2 Sm 3.64, 2 Tb 3.65, 8 Nd 3.66-3.68
4 Sm 0.0000 0.5000 0.5000 x2  8 Nd 3.64, 4 Tb 3.66

Output
Crystal system ... orthorhombic
Energy ... -56.655 eV for the cell shown
ΔE to the lowest computed polymorph ... 0.0 kJ/mol of atoms
Formation energy from the elements ... 16 meV per atom



First-principles (PBE-GGA) data for crystalline Tb6NdSm at its relaxed geometry, as listed in Alexandria via LeMat-Bulk.

a = 10.0853 Å, b = 6.8599 Å, c = 8.5453 Å
α = 90.00°, β = 104.60°, γ = 90.00°
Closest atoms and distances in Å follow each position.
Space group C2/m (No. 12)
Inequivalent atoms, fractional coordinates:
1 Tb 0.1272 0.0000 0.4251 x4  5 Tb 3.14-3.51
2 Tb 0.1968 0.2388 0.7998 x8  5 Tb 3.28-3.58, 1 Sm 3.34, 2 Nd 3.43-3.51
3 Nd 0.0000 0.5000 0.0000 x2  8 Tb 3.43-3.51
4 Sm 0.0000 0.5000 0.5000 x2  6 Tb 3.34-3.65

Output
Crystal system ... monoclinic
Energy ... -68.739 eV for the cell shown
ΔE to the lowest computed polymorph ... 33.2 kJ/mol of atoms
Formation energy from the elements ... 362 meV per atom



First-principles (PBE-GGA) data for crystalline Tb5Nd3Sm3 at its relaxed geometry, as listed in Alexandria via LeMat-Bulk.

a = 9.7117 Å, b = 9.7117 Å, c = 5.5393 Å
α = 90.00°, β = 90.00°, γ = 120.00°
Closest atoms and distances in Å follow each position.
Space group P-62m (No. 189)
Inequivalent atoms, fractional coordinates:
1 Tb 0.0000 0.2693 0.0000 x3  3 Nd 3.18-3.55, 2 Sm 3.21
2 Tb 0.3333 0.6667 0.0000 x2  3 Nd 3.10
3 Nd 0.0000 0.6352 0.0000 x3  4 Tb 3.10-3.18, 2 Sm 3.38
4 Sm 0.0000 0.4357 0.5000 x3  2 Tb 3.21, 2 Nd 3.38

Output
Crystal system ... hexagonal
Energy ... -43.187 eV for the cell shown
Formation energy from the elements ... 766 meV per atom



First-principles (PBE-GGA) data for crystalline Tb3Nd2Sm6 at its relaxed geometry, as listed in Alexandria via LeMat-Bulk.

a = 6.2734 Å, b = 8.0740 Å, c = 8.0988 Å
α = 107.50°, β = 97.36°, γ = 104.82°
Closest atoms and distances in Å follow each position.
Space group P-1 (No. 2)
Inequivalent atoms, fractional coordinates:
1 Tb 0.0000 0.0000 0.0000 x1  2 Tb 3.61, 2 Nd 3.61, 8 Sm 3.61-3.62
2 Tb 0.0902 0.3642 0.8197 x2  2 Tb 3.59-3.61, 8 Sm 3.60-3.64, 2 Nd 3.62-3.63
3 Nd 0.2720 0.0910 0.4532 x2  3 Tb 3.61-3.63, 7 Sm 3.61-3.64, 2 Nd 3.63
4 Sm 0.1814 0.7262 0.6368 x2  6 Sm 3.61-3.63, 3 Tb 3.61-3.64, 3 Nd 3.61-3.63
5 Sm 0.3633 0.4543 0.2704 x2  6 Sm 3.59-3.66, 4 Tb 3.60-3.63, 2 Nd 3.62-3.63
6 Sm 0.4548 0.8174 0.0895 x2  5 Sm 3.59-3.63, 5 Tb 3.61-3.62, 2 Nd 3.62-3.64

Output
Crystal system ... triclinic
Energy ... -51.592 eV for the cell shown
ΔE to the lowest computed polymorph ... 0.0 kJ/mol of atoms
Formation energy from the elements ... 14 meV per atom



First-principles (PBE-GGA) data for crystalline Tb5Nd5Sm2 at its relaxed geometry, as listed in Alexandria via LeMat-Bulk.

a = 15.3722 Å, b = 5.1162 Å, c = 11.4705 Å
α = 90.00°, β = 116.56°, γ = 90.00°
Closest atoms and distances in Å follow each position.
Space group C2/m (No. 12)
Inequivalent atoms, fractional coordinates:
1 Tb 0.0000 0.0000 0.0000 x2  6 Nd 3.61-3.63, 2 Tb 3.63, 4 Sm 3.63
2 Tb 0.0824 0.0000 0.7492 x4  2 Sm 3.61, 7 Nd 3.62-3.66, 3 Tb 3.62-3.63
3 Tb 0.1671 0.0000 0.5005 x4  5 Nd 3.61-3.62, 4 Tb 3.61-3.63, 3 Sm 3.61-3.62
4 Nd 0.0000 0.5000 0.5000 x2  2 Sm 3.61, 2 Nd 3.61, 8 Tb 3.62
5 Nd 0.1652 0.5000 0.9990 x4  2 Sm 3.61-3.64, 5 Tb 3.61-3.66, 5 Nd 3.64-3.65
6 Nd 0.2504 0.0000 0.2517 x4  6 Tb 3.61-3.63, 4 Nd 3.61-3.65, 2 Sm 3.63
7 Sm 0.0831 0.5000 0.2514 x4  7 Tb 3.61-3.63, 5 Nd 3.61-3.64

Output
Crystal system ... monoclinic
Energy ... -112.499 eV for the cell shown
Formation energy from the elements ... 15 meV per atom



First-principles (PBE-GGA) data for crystalline Tb5Nd3Sm4 at its relaxed geometry, as listed in Alexandria via LeMat-Bulk.

a = 16.1853 Å, b = 5.9949 Å, c = 9.3764 Å
α = 90.00°, β = 116.01°, γ = 90.00°
Closest atoms and distances in Å follow each position.
Space group C2/m (No. 12)
Inequivalent atoms, fractional coordinates:
1 Tb 0.0000 0.0000 0.0000 x2  4 Nd 3.00-3.11
2 Tb 0.0728 0.5000 0.6972 x4  2 Nd 3.30-3.52, 2 Tb 3.40-3.69, 2 Sm 3.68
3 Tb 0.1724 0.5000 0.3891 x4  4 Nd 3.23-3.51, 3 Sm 3.46-3.57
4 Nd 0.0000 0.5000 0.0000 x2  2 Tb 3.00
5 Nd 0.2085 0.0000 0.2298 x4  3 Tb 3.11-3.30, 2 Sm 3.30-3.42
6 Sm 0.0828 0.0000 0.4429 x4  2 Sm 3.29-3.68, 1 Nd 3.42, 3 Tb 3.46-3.57
7 Sm 0.2103 0.0000 0.8787 x4  3 Nd 3.30-3.59, 3 Sm 3.64-3.68, 2 Tb 3.68

Output
Crystal system ... monoclinic
Energy ... -107.454 eV for the cell shown
ΔE to the lowest computed polymorph ... 19.6 kJ/mol of atoms
Formation energy from the elements ... 217 meV per atom



First-principles (PBE-GGA) data for crystalline Tb5Nd12Sm at its relaxed geometry, as listed in Alexandria via LeMat-Bulk.

a = 15.4566 Å, b = 15.4699 Å, c = 5.1591 Å
α = 90.00°, β = 90.00°, γ = 90.00°
Closest atoms and distances in Å follow each position.
Space group Cmmm (No. 65)
Inequivalent atoms, fractional coordinates:
1 Tb 0.0000 0.0000 0.0000 x2  8 Nd 3.63, 4 Tb 3.65
2 Tb 0.0000 0.1668 0.5000 x4  8 Nd 3.63, 4 Tb 3.64-3.65
3 Tb 0.0000 0.3329 0.0000 x4  8 Nd 3.62-3.64, 2 Tb 3.64, 2 Sm 3.65
4 Nd 0.1649 0.0000 0.5000 x4  4 Tb 3.63, 8 Nd 3.65-3.68
5 Nd 0.1651 0.1666 0.0000 x8  4 Tb 3.62-3.63, 8 Nd 3.65-3.68
6 Nd 0.1656 0.3331 0.5000 x8  3 Tb 3.63, 1 Sm 3.64, 8 Nd 3.65-3.68
7 Nd 0.1660 0.5000 0.0000 x4  2 Sm 3.64, 2 Tb 3.64, 8 Nd 3.65-3.67
8 Sm 0.0000 0.5000 0.5000 x2  8 Nd 3.64, 4 Tb 3.65

Output
Crystal system ... orthorhombic
Energy ... -169.599 eV for the cell shown
Formation energy from the elements ... 16 meV per atom